Entry from Alexandria via LeMat-Bulk: an optimized crystal structure of Dy4HoIn (PBE).

Total magnetization = 0.00 μB/cell
Energy relative to the lowest polymorph listed for this composition = 0.000 eV per atom
Energy relative to the elements = -0.15 eV/atom
Space-group type = P4/mmm

Cell lengths 3.5552, 3.5552, 14.2640 Å; angles 90.00, 90.00, 90.00 degrees
Atoms (fractional coordinates):
Dy 0.0000 0.0000 0.1485
Dy 0.0000 0.0000 0.8515
Dy 0.5000 0.5000 0.3250
Dy 0.5000 0.5000 0.6750
Ho 0.0000 0.0000 0.5000
In 0.5000 0.5000 0.0000


Entry from Alexandria via LeMat-Bulk: an optimized crystal structure of KCdIr2 (PBE).

Total magnetization = 5.67 μB/cell
Energy relative to the elements = 0.92 eV/atom
Space-group type = F-43m

Cell lengths 6.7345, 6.7345, 6.7345 Å; angles 90.00, 90.00, 90.00 degrees
Atoms (fractional coordinates):
K 0.0000 0.0000 0.0000
K 0.0000 0.5000 0.5000
K 0.5000 0.0000 0.5000
K 0.5000 0.5000 0.0000
Cd 0.2500 0.2500 0.2500
Cd 0.2500 0.7500 0.7500
Cd 0.7500 0.2500 0.7500
Cd 0.7500 0.7500 0.2500
Ir 0.0000 0.0000 0.5000
Ir 0.0000 0.5000 0.0000
Ir 0.2500 0.2500 0.7500
Ir 0.2500 0.7500 0.2500
Ir 0.5000 0.0000 0.0000
Ir 0.5000 0.5000 0.5000
Ir 0.7500 0.2500 0.2500
Ir 0.7500 0.7500 0.7500


Entry from Alexandria via LeMat-Bulk: an optimized crystal structure of K2CdAs (PBE).

Total magnetization = 0.00 μB/cell
Energy relative to the lowest polymorph listed for this composition = 0.129 eV per atom
Energy relative to the elements = -0.13 eV/atom
Space-group type = I-4m2

Cell lengths 5.3724, 5.3724, 8.3741 Å; angles 90.00, 90.00, 90.00 degrees
Atoms (fractional coordinates):
K 0.0000 0.0000 0.0000
K 0.0000 0.5000 0.2500
K 0.5000 0.0000 0.7500
K 0.5000 0.5000 0.5000
Cd 0.0000 0.0000 0.5000
Cd 0.5000 0.5000 0.0000
As 0.0000 0.5000 0.7500
As 0.5000 0.0000 0.2500


Entry from Alexandria via LeMat-Bulk: an optimized crystal structure of Ho6Zn2Ga (PBE).

Total magnetization = 0.00 μB/cell
Energy relative to the lowest polymorph listed for this composition = 0.000 eV per atom
Energy relative to the elements = -0.27 eV/atom
Space-group type = Immm

Cell lengths 8.4580, 8.4580, 8.4580 Å; angles 110.68, 108.98, 108.76 degrees
Atoms (fractional coordinates):
Ho 0.0418 0.2192 0.8226
Ho 0.2472 0.3009 0.5482
Ho 0.2472 0.6991 0.9463
Ho 0.2634 0.5860 0.3226
Ho 0.2634 0.9408 0.6774
Ho 0.3967 0.2192 0.1774
Ho 0.6033 0.7808 0.8226
Ho 0.7366 0.0592 0.3226
Ho 0.7366 0.4140 0.6774
Ho 0.7528 0.3009 0.0537
Ho 0.7528 0.6991 0.4518
Ho 0.9582 0.7808 0.1774
Zn 0.0000 0.1369 0.1369
Zn 0.0000 0.8631 0.8631
Zn 0.3726 0.0000 0.3726
Zn 0.6274 0.0000 0.6274
Ga 0.0000 0.5000 0.5000
Ga 0.5000 0.5000 0.0000


Entry from Alexandria via LeMat-Bulk: an optimized crystal structure of IrSe3Cl (PBE).

Total magnetization = 0.00 μB/cell
Uncorrected formation energy = 0.536 eV/atom
Energy relative to the lowest polymorph listed for this composition = 0.000 eV per atom
Space-group type = Pm-3m

Cell lengths 4.9277, 4.9277, 4.9277 Å; angles 90.00, 90.00, 90.00 degrees
Atoms (fractional coordinates):
Ir 0.0000 0.0000 0.0000
Se 0.0000 0.0000 0.5000
Se 0.0000 0.5000 0.0000
Se 0.5000 0.0000 0.0000
Cl 0.5000 0.5000 0.5000


Entry from Alexandria via LeMat-Bulk: an optimized crystal structure of Tb5Pm3Dy2 (PBE).

Total magnetization = 0.00 μB/cell
Energy relative to the lowest polymorph listed for this composition = 0.064 eV per atom
Energy relative to the elements = 0.26 eV/atom
Space-group type = Ibam

Cell lengths 11.0400, 11.0400, 11.0400 Å; angles 118.86, 72.73, 144.51 degrees
Atoms (fractional coordinates):
Tb 0.0691 0.7500 0.3191
Tb 0.1696 0.0986 0.2682
Tb 0.2500 0.2500 0.0000
Tb 0.3304 0.5986 0.9290
Tb 0.4309 0.7500 0.6809
Tb 0.5691 0.2500 0.3191
Tb 0.6696 0.4014 0.0710
Tb 0.7500 0.7500 0.0000
Tb 0.8304 0.9014 0.7318
Tb 0.9309 0.2500 0.6809
Pm 0.1716 0.7903 0.9618
Pm 0.2500 0.7500 0.5000
Pm 0.3284 0.2903 0.6187
Pm 0.6716 0.7097 0.3813
Pm 0.7500 0.2500 0.5000
Pm 0.8284 0.2097 0.0382
Dy 0.0268 0.2638 0.2906
Dy 0.4732 0.7638 0.2371
Dy 0.5268 0.2362 0.7629
Dy 0.9732 0.7362 0.7094


Entry from Alexandria via LeMat-Bulk: an optimized crystal structure of CaCrOs3 (PBE).

Total magnetization = 0.00 μB/cell
Energy relative to the lowest polymorph listed for this composition = 0.000 eV per atom
Energy relative to the elements = 1.10 eV/atom
Space-group type = Pm-3m

Cell lengths 4.5271, 4.5271, 4.5271 Å; angles 90.00, 90.00, 90.00 degrees
Atoms (fractional coordinates):
Ca 0.0000 0.0000 0.0000
Cr 0.5000 0.5000 0.5000
Os 0.0000 0.5000 0.5000
Os 0.5000 0.0000 0.5000
Os 0.5000 0.5000 0.0000


Entry from Alexandria via LeMat-Bulk: an optimized crystal structure of Pm5Y5Tm (PBE).

Total magnetization = 0.00 μB/cell
Energy relative to the lowest polymorph listed for this composition = 0.053 eV per atom
Energy relative to the elements = 0.32 eV/atom
Space-group type = P-6m2

Cell lengths 6.1506, 6.1506, 11.4831 Å; angles 90.00, 90.00, 120.00 degrees
Atoms (fractional coordinates):
Pm 0.0000 0.0000 0.2366
Pm 0.0000 0.0000 0.7634
Pm 0.3405 0.1702 0.0000
Pm 0.8298 0.1702 0.0000
Pm 0.8298 0.6595 0.0000
Y 0.0000 0.0000 0.5000
Y 0.3333 0.6667 0.1842
Y 0.3333 0.6667 0.8158
Y 0.6667 0.3333 0.3408
Y 0.6667 0.3333 0.6592
Tm 0.3333 0.6667 0.5000


| no. | ρ (g cm⁻³) | total energy (eV per atom) |
| --- | --- | --- |
| 1 | 8.563 | -4.44 |
| 2 | 11.655 | -4.02 |
| 3 | 3.648 | -2.07 |
| 4 | 8.489 | -3.94 |
| 5 | 6.447 | -3.70 |
| 6 | 7.684 | -4.40 |
| 7 | 11.861 | -7.96 |
| 8 | 5.908 | -5.18 |